No. 1
TbPm7Pr12 (PBE-GGA, relaxed); space group = R-3, No. 148; formation energy = 0.264 eV per atom; final energy = -4.498 eV/atom
1.0
9.5207 5.4968 2.3281
-9.5207 5.4968 2.3281
0.0000 -10.9935 2.3281
Tb Pm Pr
1 7 12
Cartesian
0.0000 0.0000 0.0000 Tb
-1.3516 -2.5558 1.5488 Pm
-1.5376 2.4484 1.5488 Pm
2.8891 0.1074 1.5488 Pm
0.0000 0.0000 3.4921 Pm
-2.8891 -0.1074 5.4355 Pm
1.5376 -2.4484 5.4354 Pm
1.3515 2.5558 5.4354 Pm
-4.0614 -0.0003 2.0297 Pr
-0.6504 -5.6249 2.8463 Pr
-5.1965 -2.2491 4.1380 Pr
-4.5461 3.3757 2.8463 Pr
2.0309 -3.5171 2.0297 Pr
-2.0305 -3.5174 4.9546 Pr
2.0305 3.5174 2.0297 Pr
-2.0309 3.5171 4.9546 Pr
4.5460 -3.3757 4.1380 Pr
5.1965 2.2492 2.8463 Pr
0.6504 5.6249 4.1380 Pr
4.0614 0.0002 4.9546 Pr

No. 2
Mg2Sn3 (PBE-GGA, relaxed); space group = R-3c, No. 167; formation energy = 0.048 eV per atom; final energy = -2.992 eV/atom
1.0
4.2358 2.4455 4.1865
-4.2358 2.4455 4.1865
0.0000 -4.8911 4.1865
Mg Sn
4 6
Cartesian
0.0000 0.0000 1.5339 Mg
0.0000 0.0000 4.7458 Mg
0.0000 0.0000 7.8137 Mg
0.0000 0.0000 11.0256 Mg
-2.9181 -0.1633 5.2331 Sn
-1.3177 -2.6088 7.3264 Sn
1.6005 -2.4455 5.2331 Sn
-1.6005 2.4455 7.3264 Sn
1.3177 2.6088 5.2331 Sn
2.9181 0.1633 7.3264 Sn

No. 3
Pm2Nd3Bi3 (PBE-GGA, relaxed); space group = P6_3/mcm, No. 193; formation energy = -0.776 eV per atom; final energy = -5.207 eV/atom
1.0
9.4868 0.0000 0.0000
-4.7434 8.2158 0.0000
0.0000 0.0000 6.5823
Pm Nd Bi
4 6 6
Cartesian
0.0000 5.4772 0.0000 Pm
0.0000 5.4772 3.2912 Pm
4.7434 2.7386 0.0000 Pm
4.7434 2.7386 3.2912 Pm
-1.1694 2.0254 1.6456 Nd
-3.5741 6.1904 4.9368 Nd
2.3387 0.0000 1.6456 Nd
1.1694 2.0254 4.9368 Nd
7.1481 0.0000 4.9368 Nd
3.5741 6.1904 1.6456 Nd
-1.8446 3.1949 4.9368 Bi
-2.8988 5.0210 1.6456 Bi
3.6891 0.0000 4.9368 Bi
1.8446 3.1949 1.6456 Bi
5.7977 0.0000 1.6456 Bi
2.8988 5.0210 4.9368 Bi